No. 1
DyTiPdAu: optimized geometry, PBE.

```
DyTiPdAu
1.0
4.813 0.000 0.000
2.406 4.168 0.000
2.406 1.389 3.930
Ti Au Pd Dy
1 1 1 1
Direct
0.250 0.250 0.250
0.500 0.500 0.500
0.000 0.000 0.000
0.750 0.750 0.750
```

Values from the calculation:
Total magnetization ... 1.42 μB per formula unit
SG ... F-43m, No. 216
ΔE_f ... -0.525 eV per atom
ρ ... 10.82 g/cm³
Uncorrected energy ... -23.07 eV for the cell shown

---

No. 2
ThNiB2C: optimized geometry, PBE.

```
ThNiB2C
1.0
3.793 0.000 0.000
-1.896 5.094 0.000
0.000 0.000 6.216
Th Ni B C
2 2 4 2
Direct
0.398 0.796 0.750
0.602 0.204 0.250
0.691 0.381 0.750
0.309 0.619 0.250
0.131 0.262 0.892
0.869 0.738 0.108
0.131 0.262 0.608
0.869 0.738 0.392
0.000 0.000 0.000
0.000 0.000 0.500
```

Values from the calculation:
Total magnetization ... 0.00 μB per formula unit
SG ... Cmcm, No. 63
ΔE_f ... -0.319 eV per atom
ρ ... 8.97 g/cm³
Uncorrected energy ... -74.75 eV for the cell shown

---

No. 3
PmGa4Fe: optimized geometry, PBE.

```
PmGa4Fe
1.0
4.043 0.000 0.000
0.000 6.879 0.000
0.000 0.000 7.605
Pm Ga Fe
2 8 2
Direct
0.000 0.627 0.750
0.000 0.373 0.250
0.000 0.000 0.500
0.000 0.000 0.000
0.500 0.960 0.750
0.500 0.040 0.250
0.500 0.685 0.071
0.500 0.315 0.929
0.500 0.685 0.429
0.500 0.315 0.571
0.000 0.192 0.750
0.000 0.808 0.250
```

Values from the calculation:
Total magnetization ... 0.00 μB per formula unit
SG ... Pmma, No. 51
ΔE_f ... -0.424 eV per atom
ρ ... 7.53 g/cm³
Uncorrected energy ... -55.73 eV for the cell shown

---

No. 4
Ac3Nd3Sm2: optimized geometry, PBE.

```
Ac3Nd3Sm2
1.0
-3.643 -5.450 2.109
0.733 3.249 9.662
-7.118 6.245 3.845
Ac Nd Sm
6 6 4
Direct
0.750 0.000 0.234
0.750 0.234 0.766
0.750 0.766 0.000
0.250 0.000 0.766
0.250 0.766 0.234
0.250 0.234 0.000
0.750 0.000 0.587
0.750 0.587 0.413
0.750 0.413 0.000
0.250 0.000 0.413
0.250 0.413 0.587
0.250 0.587 0.000
0.000 0.333 0.333
0.500 0.667 0.667
0.000 0.667 0.667
0.500 0.333 0.333
```

Values from the calculation:
Total magnetization ... 0.00 μB per formula unit
SG ... P6_3/mcm, No. 193
ΔE_f ... 0.149 eV per atom
ρ ... 7.54 g/cm³
Uncorrected energy ... -69.74 eV for the cell shown

---

No. 5
KZrIN2: optimized geometry, PBE.

```
KZrIN2
1.0
-0.788 3.415 2.623
-1.311 -2.730 3.160
5.738 -0.303 2.118
I K Zr N
1 1 1 2
Direct
0.000 0.000 0.500
0.500 0.500 0.500
0.000 0.000 0.000
0.000 0.500 0.000
0.500 0.000 0.000
```

Values from the calculation:
Total magnetization ... 1.23 μB per formula unit
SG ... P4/mmm, No. 123
Distance to the lowest polymorph of the same formula ... 0 meV per atom
ρ ... 4.04 g/cm³
Uncorrected energy ... -28.30 eV for the cell shown

---

No. 6
KBa2Ir: optimized geometry, PBE.

```
KBa2Ir
1.0
-3.637 -2.307 3.763
0.884 -5.303 1.949
1.631 -0.820 5.420
Ba Ir K
2 1 1
Direct
0.000 0.000 0.000
0.250 0.250 0.250
0.500 0.500 0.500
0.750 0.750 0.750
```

Values from the calculation:
Total magnetization ... 0.00 μB per formula unit
SG ... F-43m, No. 216
ΔE_f ... 0.505 eV per atom
Distance to the lowest polymorph of the same formula ... 550 meV per atom
ρ ... 6.35 g/cm³
Uncorrected energy ... -11.79 eV for the cell shown

---

No. 7
LuUTc2: optimized geometry, PBE.

```
LuUTc2
1.0
4.759 0.000 0.000
2.379 4.121 0.000
2.379 1.374 3.886
Lu U Tc
1 1 2
Direct
0.500 0.500 0.500
0.000 0.000 0.000
0.250 0.250 0.250
0.750 0.750 0.750
```

Values from the calculation:
Total magnetization ... 0.88 μB per formula unit
SG ... Fm-3m, No. 225
ΔE_f ... -0.065 eV per atom
Distance to the lowest polymorph of the same formula ... 154 meV per atom
ρ ... 13.27 g/cm³
Uncorrected energy ... -36.80 eV for the cell shown

---

No. 8
LaGa2TeRh: optimized geometry, PBE.

```
LaGa2TeRh
1.0
4.856 0.000 0.000
0.000 4.856 0.000
0.000 0.000 5.435
Te Rh Ga La
1 1 2 1
Direct
0.500 0.500 0.500
0.000 0.000 0.000
0.000 0.500 0.000
0.500 0.000 0.000
0.000 0.000 0.500
```

Values from the calculation:
Total magnetization ... 0.00 μB per formula unit
SG ... P4/mmm, No. 123
ρ ... 6.59 g/cm³
Uncorrected energy ... -25.66 eV for the cell shown